Entry 1:
Entry from Alexandria via LeMat-Bulk: crystalline YInCu2 at its relaxed geometry (GGA-PBEsol).

```
data_YInCu2
_cell_length_a 4.102
_cell_length_b 3.751
_cell_length_c 9.682
_cell_angle_alpha 90.00
_cell_angle_beta 90.00
_cell_angle_gamma 90.00
_symmetry_space_group_name_H-M 'A m m 2'
_symmetry_Int_Tables_number 38
loop_
_symmetry_equiv_pos_as_xyz
'x,y,z'
'-x,-y,z'
'-x,y,z'
'x,-y,z'
'x,y+1/2,z+1/2'
'-x,-y+1/2,z+1/2'
'-x,y+1/2,z+1/2'
'x,-y+1/2,z+1/2'
loop_
_atom_site_label
_atom_site_type_symbol
_atom_site_fract_x
_atom_site_fract_y
_atom_site_fract_z
_atom_site_occupancy
Y1 Y 0.000 0.000 0.000 1
In1 In 0.500 0.000 0.708 1
Cu1 Cu 0.000 0.000 0.284 1
Cu2 Cu 0.500 0.000 0.418 1
```

Calculated values
ρ = 7374 kg/m³
total moment = 0.0 Bohr magnetons per cell
energy relative to the elements = -0.2271 eV per atom
VASP energy = -4.845 eV per atom

=====

Entry 2:
Entry from Alexandria via LeMat-Bulk: crystalline Fe4C3 at its relaxed geometry (GGA-PBEsol).

```
data_Fe4C3
_cell_length_a 3.894
_cell_length_b 3.894
_cell_length_c 3.894
_cell_angle_alpha 90.00
_cell_angle_beta 90.00
_cell_angle_gamma 90.00
_symmetry_space_group_name_H-M 'P m -3 m'
_symmetry_Int_Tables_number 221
_symmetry_space_group_name_Hall '-P 4 2 3'
loop_
_atom_site_label
_atom_site_type_symbol
_atom_site_fract_x
_atom_site_fract_y
_atom_site_fract_z
_atom_site_occupancy
Fe1 Fe 0.000 0.000 0.000 1
Fe2 Fe 0.000 0.500 0.500 1
C1 C 0.000 0.000 0.500 1
```

Calculated values
ρ = 7295 kg/m³
total moment = 4.7 Bohr magnetons per cell
energy relative to the elements = 0.3970 eV per atom
VASP energy = -8.858 eV per atom

=====

Entry 3:
Entry from Alexandria via LeMat-Bulk: crystalline Cu3BRh at its relaxed geometry (GGA-PBEsol).

```
data_Cu3BRh
_cell_length_a 4.518
_cell_length_b 4.518
_cell_length_c 4.518
_cell_angle_alpha 90.00
_cell_angle_beta 90.00
_cell_angle_gamma 90.00
_symmetry_space_group_name_H-M 'P m -3 m'
_symmetry_Int_Tables_number 221
_symmetry_space_group_name_Hall '-P 4 2 3'
loop_
_atom_site_label
_atom_site_type_symbol
_atom_site_fract_x
_atom_site_fract_y
_atom_site_fract_z
_atom_site_occupancy
Cu1 Cu 0.000 0.000 0.500 1
B1 B 0.500 0.500 0.500 1
Rh1 Rh 0.000 0.000 0.000 1
```

Calculated values
ρ = 5479 kg/m³
total moment = 0.0 Bohr magnetons per cell
energy relative to the elements = 2.0345 eV per atom
VASP energy = -3.597 eV per atom

=====

Entry 4:
Entry from Alexandria via LeMat-Bulk: crystalline BaWS2 at its relaxed geometry (GGA-PBEsol).

```
data_BaWS2
_cell_length_a 3.6182
_cell_length_b 3.6182
_cell_length_c 26.4957
_cell_angle_alpha 90.00
_cell_angle_beta 90.00
_cell_angle_gamma 120.00
_symmetry_space_group_name_H-M 'R -3 m'
_symmetry_Int_Tables_number 166
_symmetry_space_group_name_Hall '-R 3 2"'
loop_
_atom_site_label
_atom_site_type_symbol
_atom_site_fract_x
_atom_site_fract_y
_atom_site_fract_z
_atom_site_occupancy
Ba1 Ba 0.0000 0.0000 0.0000 1
W1 W 0.0000 0.0000 0.5000 1
S1 S 0.0000 0.0000 0.4161 1
```

Calculated values
raw formation energy = 0.11 eV/atom
ρ = 6390 kg/m³
total moment = 0.0 Bohr magnetons per cell
VASP energy = -6.076 eV per atom

=====

Entry 5:
Entry from Alexandria via LeMat-Bulk: crystalline CsCd3H at its relaxed geometry (GGA-PBEsol).

```
data_CsCd3H
_cell_length_a 5.138
_cell_length_b 5.138
_cell_length_c 5.138
_cell_angle_alpha 90.00
_cell_angle_beta 90.00
_cell_angle_gamma 90.00
_symmetry_space_group_name_H-M 'P m -3 m'
_symmetry_Int_Tables_number 221
_symmetry_space_group_name_Hall '-P 4 2 3'
loop_
_atom_site_label
_atom_site_type_symbol
_atom_site_fract_x
_atom_site_fract_y
_atom_site_fract_z
_atom_site_occupancy
Cs1 Cs 0.000 0.000 0.000 1
Cd1 Cd 0.000 0.500 0.500 1
H1 H 0.500 0.500 0.500 1
```

Calculated values
ρ = 5766 kg/m³
total moment = 0.0 Bohr magnetons per cell
VASP energy = -1.158 eV per atom

=====

Entry 6:
Entry from Alexandria via LeMat-Bulk: crystalline La2CdTc at its relaxed geometry (GGA-PBEsol).

```
data_La2CdTc
_cell_length_a 3.481
_cell_length_b 3.486
_cell_length_c 8.278
_cell_angle_alpha 90.00
_cell_angle_beta 92.58
_cell_angle_gamma 90.00
_symmetry_space_group_name_H-M 'P 1 2/m 1'
_symmetry_Int_Tables_number 10
loop_
_symmetry_equiv_pos_as_xyz
'x,y,z'
'-x,-y,-z'
'-x,y,-z'
'x,-y,z'
loop_
_atom_site_label
_atom_site_type_symbol
_atom_site_fract_x
_atom_site_fract_y
_atom_site_fract_z
_atom_site_occupancy
La1 La 0.024 0.000 0.290 1
Cd1 Cd 0.500 0.500 0.000 1
Tc1 Tc 0.500 0.500 0.500 1
```

Calculated values
ρ = 8078 kg/m³
total moment = 0.0 Bohr magnetons per cell
energy relative to the elements = -0.0220 eV per atom
VASP energy = -5.811 eV per atom

=====

Entry 7:
Entry from Alexandria via LeMat-Bulk: crystalline CaSb2AsPd at its relaxed geometry (GGA-PBEsol).

```
data_CaSb2AsPd
_cell_length_a 5.347
_cell_length_b 5.347
_cell_length_c 4.691
_cell_angle_alpha 90.00
_cell_angle_beta 90.00
_cell_angle_gamma 90.00
_symmetry_space_group_name_H-M 'P 4/m m m'
_symmetry_Int_Tables_number 123
_symmetry_space_group_name_Hall '-P 4 2'
loop_
_atom_site_label
_atom_site_type_symbol
_atom_site_fract_x
_atom_site_fract_y
_atom_site_fract_z
_atom_site_occupancy
Ca1 Ca 0.000 0.000 0.000 1
Sb1 Sb 0.000 0.500 0.500 1
As1 As 0.500 0.500 0.000 1
Pd1 Pd 0.500 0.500 0.500 1
```

Calculated values
raw formation energy = -0.10 eV/atom
ρ = 5757 kg/m³
total moment = 0.0 Bohr magnetons per cell
VASP energy = -4.567 eV per atom

=====

Entry 8:
Entry from Alexandria via LeMat-Bulk: crystalline SrSbSe at its relaxed geometry (GGA-PBEsol).

```
data_SrSbSe
_cell_length_a 4.158
_cell_length_b 4.158
_cell_length_c 10.735
_cell_angle_alpha 90.00
_cell_angle_beta 90.00
_cell_angle_gamma 90.00
_symmetry_space_group_name_H-M 'I 4 m m'
_symmetry_Int_Tables_number 107
_symmetry_space_group_name_Hall 'I 4 -2'
loop_
_atom_site_label
_atom_site_type_symbol
_atom_site_fract_x
_atom_site_fract_y
_atom_site_fract_z
_atom_site_occupancy
Sr1 Sr 0.000 0.000 0.000 1
Sb1 Sb 0.000 0.000 0.336 1
Se1 Se 0.000 0.000 0.583 1
```

Calculated values
raw formation energy = -0.87 eV/atom
ρ = 5160 kg/m³
total moment = 0.0 Bohr magnetons per cell
VASP energy = -4.285 eV per atom

=====

Entry 9:
Entry from Alexandria via LeMat-Bulk: crystalline Y2AlRe at its relaxed geometry (GGA-PBEsol).

```
data_Y2AlRe
_cell_length_a 4.401
_cell_length_b 4.401
_cell_length_c 8.280
_cell_angle_alpha 90.00
_cell_angle_beta 90.00
_cell_angle_gamma 90.00
_symmetry_space_group_name_H-M 'I -4 m 2'
_symmetry_Int_Tables_number 119
_symmetry_space_group_name_Hall 'I -4 -2'
loop_
_atom_site_label
_atom_site_type_symbol
_atom_site_fract_x
_atom_site_fract_y
_atom_site_fract_z
_atom_site_occupancy
Y1 Y 0.000 0.000 0.000 1
Y2 Y 0.000 0.500 0.250 1
Al1 Al 0.000 0.000 0.500 1
Re1 Re 0.000 0.500 0.750 1
```

Calculated values
ρ = 8097 kg/m³
total moment = 0.0 Bohr magnetons per cell
energy relative to the elements = 0.0963 eV per atom
VASP energy = -7.671 eV per atom

=====

Entry 10:
Entry from Alexandria via LeMat-Bulk: crystalline CaMgSb2 at its relaxed geometry (GGA-PBEsol).

```
data_CaMgSb2
_cell_length_a 7.492
_cell_length_b 7.492
_cell_length_c 7.492
_cell_angle_alpha 90.00
_cell_angle_beta 90.00
_cell_angle_gamma 90.00
_symmetry_space_group_name_H-M 'F -4 3 m'
_symmetry_Int_Tables_number 216
_symmetry_space_group_name_Hall 'F -4 2 3'
loop_
_atom_site_label
_atom_site_type_symbol
_atom_site_fract_x
_atom_site_fract_y
_atom_site_fract_z
_atom_site_occupancy
Ca1 Ca 0.000 0.000 0.000 1
Mg1 Mg 0.250 0.250 0.250 1
Sb1 Sb 0.000 0.000 0.500 1
Sb2 Sb 0.250 0.250 0.750 1
```

Calculated values
raw formation energy = -0.22 eV/atom
ρ = 4863 kg/m³
total moment = 0.0 Bohr magnetons per cell
VASP energy = -3.457 eV per atom

=====

Entry 11:
Entry from Alexandria via LeMat-Bulk: crystalline K6Ba3Ta12Si8O52 at its relaxed geometry (GGA-PBEsol).

```
data_K6Ba3Ta12Si8O52
_cell_length_a 7.763
_cell_length_b 15.714
_cell_length_c 9.079
_cell_angle_alpha 90.00
_cell_angle_beta 90.00
_cell_angle_gamma 90.00
_symmetry_space_group_name_H-M 'P m m 2'
_symmetry_Int_Tables_number 25
loop_
_symmetry_equiv_pos_as_xyz
'x,y,z'
'-x,-y,z'
'-x,y,z'
'x,-y,z'
loop_
_atom_site_label
_atom_site_type_symbol
_atom_site_fract_x
_atom_site_fract_y
_atom_site_fract_z
_atom_site_occupancy
K1 K 0.000 0.000 0.000 1
K2 K 0.000 0.300 0.105 1
K3 K 0.500 0.000 0.010 1
K4 K 0.500 0.302 0.104 1
Ba1 Ba 0.000 0.197 0.599 1
Ba2 Ba 0.000 0.500 0.512 1
Ta1 Ta 0.251 0.500 0.146 1
Ta2 Ta 0.252 0.120 0.282 1
Ta3 Ta 0.253 0.382 0.788 1
Ta4 Ta 0.255 0.000 0.638 1
Si1 Si 0.289 0.167 0.898 1
Si2 Si 0.292 0.334 0.409 1
O1 O 0.000 0.000 0.626 1
O2 O 0.000 0.116 0.292 1
O3 O 0.000 0.391 0.789 1
O4 O 0.000 0.500 0.134 1
O5 O 0.212 0.348 0.572 1
O6 O 0.215 0.257 0.839 1
O7 O 0.217 0.091 0.795 1
O8 O 0.221 0.410 0.303 1
O9 O 0.223 0.244 0.344 1
O10 O 0.227 0.153 0.067 1
O11 O 0.268 0.000 0.226 1
O12 O 0.268 0.089 0.490 1
O13 O 0.268 0.411 0.995 1
O14 O 0.271 0.500 0.726 1
O15 O 0.500 0.000 0.685 1
O16 O 0.500 0.139 0.259 1
O17 O 0.500 0.168 0.899 1
O18 O 0.500 0.335 0.407 1
O19 O 0.500 0.361 0.773 1
O20 O 0.500 0.500 0.178 1
```

Calculated values
raw formation energy = -2.86 eV/atom
ρ = 5810 kg/m³
total moment = 0.0 Bohr magnetons per cell
VASP energy = -8.818 eV per atom